# 1
Computed, not measured: a relaxed structure of CaPmPr14 at the PBE level of DFT.

```
CaPmPr14
1.0
7.4394 0.0000 0.0000
0.0000 7.4394 0.0000
0.0000 0.0000 10.4994
Ca Pm Pr
1 1 14
direct
0.0000 0.0000 0.0000 Ca
0.5000 0.5000 0.0000 Pm
0.0000 0.0000 0.5000 Pr
0.0000 0.5000 0.0000 Pr
0.0000 0.5000 0.5000 Pr
0.2530 0.2530 0.2520 Pr
0.2530 0.2530 0.7480 Pr
0.2530 0.7470 0.2520 Pr
0.2530 0.7470 0.7480 Pr
0.5000 0.0000 0.0000 Pr
0.5000 0.0000 0.5000 Pr
0.5000 0.5000 0.5000 Pr
0.7470 0.2530 0.2520 Pr
0.7470 0.2530 0.7480 Pr
0.7470 0.7470 0.2520 Pr
0.7470 0.7470 0.7480 Pr
```

- ΔH_f (0 K): 0.018 eV per atom
- N(E_F): 22.81 states/eV per cell
- SG: No. 123

=====

# 2
Computed, not measured: a relaxed structure of PrPuPb2O6 at the PBE level of DFT.

```
PrPuPb2O6
1.0
6.1811 0.0000 0.0000
-3.0882 5.3585 0.0000
-3.0888 -1.7866 5.1522
Pr Pu Pb O
1 1 2 6
direct
0.0000 0.0000 0.0000 Pr
0.0153 0.5077 0.5225 Pu
0.4456 0.2231 0.6676 Pb
0.4534 0.7264 0.1814 Pb
0.1328 0.7744 0.3141 O
0.1398 0.8345 0.7896 O
0.4849 0.6500 0.7892 O
0.5401 0.3578 0.3150 O
0.9564 0.3059 0.7907 O
0.9569 0.1824 0.3147 O
```

- Uncorrected formation energy: -2.225 eV/atom
- N(E_F): 9.46 states/eV per cell
- SG: No. 1

=====

# 3
Computed, not measured: a relaxed structure of HfTaN2O at the PBE level of DFT.

```
HfTaN2O
1.0
4.1545 0.0000 0.0000
0.0000 4.1545 0.0000
0.0000 0.0000 3.8829
Hf Ta N O
1 1 2 1
direct
0.0000 0.0000 0.0000 Hf
0.5000 0.5000 0.5000 Ta
0.0000 0.5000 0.0000 N
0.5000 0.0000 0.0000 N
0.0000 0.0000 0.5000 O
```

- Uncorrected formation energy: -0.246 eV/atom
- N(E_F): 3.09 states/eV per cell
- SG: No. 123

=====

# 4
Computed, not measured: a relaxed structure of Zr2Fe2Tc at the PBE level of DFT.

```
Zr2Fe2Tc
1.0
3.2880 0.0000 0.0000
0.0000 3.2880 0.0000
0.0000 0.0000 15.7763
Zr Fe Tc
4 4 2
direct
0.0000 0.0000 0.1024 Zr
0.0000 0.0000 0.8976 Zr
0.5000 0.5000 0.3976 Zr
0.5000 0.5000 0.6024 Zr
0.0000 0.5000 0.2500 Fe
0.0000 0.5000 0.7500 Fe
0.5000 0.0000 0.2500 Fe
0.5000 0.0000 0.7500 Fe
0.0000 0.0000 0.5000 Tc
0.5000 0.5000 0.0000 Tc
```

- ΔH_f (0 K): 0.081 eV per atom
- Energy above the lowest structure with this stoichiometry: 0.145 eV per atom
- N(E_F): 6.90 states/eV per cell
- SG: No. 139

=====

# 5
Computed, not measured: a relaxed structure of Pu2ZnInAu6 at the PBE level of DFT.

```
Pu2ZnInAu6
1.0
5.1746 0.0000 0.0000
-1.1972 5.7436 0.0000
-2.2657 -1.5900 7.2193
Pu Zn In Au
2 1 1 6
direct
0.0970 0.3398 0.1669 Pu
0.9030 0.6602 0.8331 Pu
0.5000 0.0000 0.0000 Zn
0.0000 0.0000 0.5000 In
0.2964 0.9012 0.2659 Au
0.3046 0.6279 0.5741 Au
0.3229 0.3317 0.8372 Au
0.6771 0.6683 0.1628 Au
0.6954 0.3721 0.4259 Au
0.7036 0.0988 0.7341 Au
```

- ΔH_f (0 K): -0.271 eV per atom
- N(E_F): 26.07 states/eV per cell
- SG: No. 2

=====

# 6
Computed, not measured: a relaxed structure of SrHoPdPb at the PBE level of DFT.

```
SrHoPdPb
1.0
7.5667 0.0000 0.0000
0.0000 7.5667 0.0000
0.0000 0.0000 7.5667
Sr Ho Pd Pb
4 4 4 4
direct
0.0000 0.0000 0.0000 Sr
0.0000 0.5000 0.5000 Sr
0.5000 0.0000 0.5000 Sr
0.5000 0.5000 0.0000 Sr
0.0000 0.0000 0.5000 Ho
0.0000 0.5000 0.0000 Ho
0.5000 0.0000 0.0000 Ho
0.5000 0.5000 0.5000 Ho
0.2500 0.2500 0.7500 Pd
0.2500 0.7500 0.2500 Pd
0.7500 0.2500 0.2500 Pd
0.7500 0.7500 0.7500 Pd
0.2500 0.2500 0.2500 Pb
0.2500 0.7500 0.7500 Pb
0.7500 0.2500 0.7500 Pb
0.7500 0.7500 0.2500 Pb
```

- ΔH_f (0 K): -0.493 eV per atom
- N(E_F): 11.44 states/eV per cell
- SG: No. 216

=====

Electronic total energy (computed, eV/atom): -4.586, -7.853, -8.929, -8.797, -5.505, -4.283